The following is a DFT calculation (PBE) of a relaxed Cs3MnAu crystal.

Values from the calculation:
The value obtained for the total magnetization is 5.72 μB per formula unit. The value obtained for the formation enthalpy at 0 K is 43.70 kJ per mole of atoms. For the uncorrected energy, the calculation gives -12.74 eV per formula unit. Its space group is Pm-3m, No. 221.

Cell lengths 6.9441, 6.9441, 6.9441 Å; angles 90.00, 90.00, 90.00 degrees
With the nearest neighbours (Å) after each atom.
Fractional positions:
Au 0.0000 0.0000 0.0000  6 Cs 3.47
Cs 0.0000 0.0000 0.5000  2 Au 3.47
Cs 0.0000 0.5000 0.0000  2 Au 3.47
Cs 0.5000 0.0000 0.0000  2 Au 3.47
Mn 0.5000 0.5000 0.5000  12 Cs 4.91

***

The following is a DFT calculation (PBE) of a relaxed CsMnAu3 crystal.

Values from the calculation:
The value obtained for the total magnetization is 4.75 μB per formula unit. The value obtained for the formation enthalpy at 0 K is 11.29 kJ per mole of atoms. For the uncorrected energy, the calculation gives -19.27 eV per formula unit. Its space group is Pm-3m, No. 221.

Cell lengths 5.2529, 5.2529, 5.2529 Å; angles 90.00, 90.00, 90.00 degrees
With the nearest neighbours (Å) after each atom.
Fractional positions:
Cs 0.5000 0.5000 0.5000  12 Au 3.71
Au 0.0000 0.0000 0.5000  2 Mn 2.63
Au 0.0000 0.5000 0.0000  2 Mn 2.63
Au 0.5000 0.0000 0.0000  2 Mn 2.63
Mn 0.0000 0.0000 0.0000  6 Au 2.63

***

Which of these has the highest uncorrected energy?
Cs3MnAu